(1)
# Ca2PaCrN4

Ca2PaCrN4 after structural relaxation (PBE, Alexandria).

The structure belongs to space group Cmcm (No. 63); the cell edges are 3.348, 11.254 and 11.772 Å and the angles 90.00°, 90.00° and 90.00°. The distinct sites, in fractional coordinates, are Ca at (0.000, 0.131, 0.042), Pa at (0.000, 0.405, 0.250), Cr at (0.000, 0.333, 0.750), N at (0.000, 0.063, 0.250), N at (0.000, 0.216, 0.644) and N at (0.000, 0.500, 0.000).

The final energy is -253.88 eV per cell. The calculation puts the total magnetic moment at 8.71 Bohr magnetons per cell. The crystal system is orthorhombic.


(2)
# CaPaCrN3

CaPaCrN3 after structural relaxation (PBE, Alexandria).

The structure belongs to space group P2_1/m (No. 11); the cell edges are 6.962, 3.562 and 7.568 Å and the angles 90.00°, 95.63° and 90.00°. The distinct sites, in fractional coordinates, are Ca at (0.148, 0.250, 0.171), Pa at (0.358, 0.750, 0.826), Cr at (0.088, 0.250, 0.583), N at (0.141, 0.250, 0.848), N at (0.155, 0.750, 0.547) and N at (0.418, 0.750, 0.127).

The final energy is -105.09 eV per cell. The calculation puts the total magnetic moment at 0.00 Bohr magnetons per cell. The crystal system is monoclinic.


(3)
# CaCrPbN2

CaCrPbN2 after structural relaxation (PBE, Alexandria).

The structure belongs to space group P4/mmm (No. 123); the cell edges are 4.338, 4.338 and 6.229 Å and the angles 90.00°, 90.00° and 90.00°. The distinct sites, in fractional coordinates, are Ca at (0.000, 0.000, 0.000), Cr at (0.500, 0.500, 0.500), Pb at (0.000, 0.000, 0.500) and N at (0.000, 0.500, 0.000).

The final energy is -21.31 eV per cell. The calculation puts the total magnetic moment at 3.51 Bohr magnetons per cell. The crystal system is tetragonal.